1.
Co3BiO8 after structural relaxation. Source: Alexandria, functional GGA+U.

Geometry as POSCAR:
```
Co3BiO8
1.0
-4.1605 -3.4974 -6.3865
6.7704 -4.4333 -1.9829
-2.5454 -6.1422 5.0218
O Bi Co
32 4 12
direct
0.1310 0.3717 0.8738
0.3879 0.6451 0.4213
0.3629 0.4214 0.6450
0.8287 0.6127 0.9006
0.6155 0.8512 0.9239
0.3287 0.3873 0.0994
0.3766 0.6208 0.8699
0.8629 0.5786 0.3550
0.6502 0.3281 0.3634
0.3746 0.8700 0.6206
0.1200 0.1264 0.6283
0.9225 0.9005 0.6128
0.1737 0.8856 0.3976
0.1009 0.3635 0.3283
0.8746 0.1300 0.3794
0.6737 0.1144 0.6024
0.4225 0.0995 0.3872
0.3526 0.1722 0.8606
0.1155 0.1488 0.0761
0.5773 0.3976 0.8855
0.1502 0.6719 0.6366
0.8526 0.8278 0.1394
0.8879 0.3549 0.5787
0.6009 0.6365 0.6717
0.6310 0.6283 0.1262
0.6360 0.0761 0.1488
0.6200 0.8736 0.3717
0.8766 0.3792 0.1301
0.3986 0.8608 0.1720
0.0773 0.6024 0.1145
0.1360 0.9239 0.8512
0.8986 0.1392 0.8280
0.3757 0.1260 0.1258
0.1254 0.6236 0.3765
0.6254 0.3764 0.6235
0.8757 0.8740 0.8742
0.1256 0.1493 0.8507
0.1038 0.3756 0.1023
0.3986 0.8734 0.3981
0.8524 0.6017 0.1267
0.1474 0.8978 0.6244
0.8755 0.3521 0.3522
0.3755 0.6479 0.6478
0.8986 0.1266 0.6019
0.6474 0.1022 0.3756
0.6038 0.6244 0.8977
0.6256 0.8507 0.1493
0.3524 0.3983 0.8733
```

Properties
SG: C222_1 (20)
E above lowest polymorph in meV/atom: 0.0
Total magnetization in μB per cell: 7.740

2.
NiP3O after structural relaxation. Source: Alexandria, functional GGA+U.

Geometry as POSCAR:
```
NiP3O
1.0
4.0857 0.0000 0.0000
0.0000 4.0857 0.0000
0.0000 0.0000 4.0857
O P Ni
1 3 1
direct
0.0000 0.0000 0.0000
0.5000 0.0000 0.0000
0.0000 0.5000 0.0000
0.0000 0.0000 0.5000
0.5000 0.5000 0.5000
```

Properties
SG: Pm-3m (221)
E above lowest polymorph in meV/atom: 0.0
Total magnetization in μB per cell: 0.951